The following is a PBE calculation of a relaxed Sc2Ge4Mo3 crystal, from the Alexandria database.

The structure in CIF format:
```
data_Sc2Ge4Mo3
_cell_length_a 6.866
_cell_length_b 6.926
_cell_length_c 6.732
_cell_angle_alpha 90.00
_cell_angle_beta 109.34
_cell_angle_gamma 90.00
_symmetry_space_group_name_H-M 'P 1 21/c 1'
_symmetry_Int_Tables_number 14
_symmetry_space_group_name_Hall '-P 2ybc'
loop_
_atom_site_label
_atom_site_type_symbol
_atom_site_fract_x
_atom_site_fract_y
_atom_site_fract_z
_atom_site_occupancy
Sc1 Sc 0.190 0.173 0.055 1
Ge1 Ge 0.088 0.540 0.851 1
Ge2 Ge 0.496 0.137 0.866 1
Mo1 Mo 0.246 0.661 0.246 1
Mo2 Mo 0.500 0.000 0.500 1
```

Calculated values
formation enthalpy at 0 K = -0.529 eV per atom
offset from the most stable computed form = 24 meV per atom